# 1
! PBE Si3Ag, relaxed; values from VASP
&SYSTEM
  ibrav = 0, nat = 8, ntyp = 2
/
ATOMIC_SPECIES
Si 28.09 Si.upf
Ag 107.87 Ag.upf
ATOMIC_POSITIONS crystal
Si 0.135 0.705 0.745
Si 0.205 0.205 0.734
Si 0.295 0.865 0.255
Si 0.705 0.135 0.745
Si 0.795 0.795 0.266
Si 0.865 0.295 0.255
Ag 0.354 0.354 0.260
Ag 0.646 0.646 0.740
CELL_PARAMETERS angstrom
4.678 -2.857 0.000
4.678 2.857 0.000
-2.527 0.000 4.967
! * uncorrected formation energy: 443 meV/atom
! * energy above the most stable polymorph in this dataset: 157.9 meV per atom

# 2
! PBE SiAg, relaxed; values from VASP
&SYSTEM
  ibrav = 0, nat = 4, ntyp = 2
/
ATOMIC_SPECIES
Si 28.09 Si.upf
Ag 107.87 Ag.upf
ATOMIC_POSITIONS crystal
Si 0.164 0.164 0.414
Si 0.836 0.836 0.586
Ag 0.409 0.409 0.158
Ag 0.591 0.591 0.842
CELL_PARAMETERS angstrom
6.240 -1.433 0.000
6.240 1.433 0.000
-1.438 0.000 3.986
! * uncorrected formation energy: 326 meV/atom
! * energy above the most stable polymorph in this dataset: 104.1 meV per atom

# 3
! PBE Si3Ag, relaxed; values from VASP
&SYSTEM
  ibrav = 0, nat = 4, ntyp = 2
/
ATOMIC_SPECIES
Si 28.09 Si.upf
Ag 107.87 Ag.upf
ATOMIC_POSITIONS crystal
Si 0.000 0.500 0.500
Si 0.500 0.000 0.500
Si 0.500 0.500 0.000
Ag 0.000 0.000 0.000
CELL_PARAMETERS angstrom
4.605 2.659 0.883
-4.605 2.659 0.883
0.000 -5.317 0.883
! * uncorrected formation energy: 536 meV/atom
! * energy above the most stable polymorph in this dataset: 250.9 meV per atom

# 4
! PBE Si3Ag5, relaxed; values from VASP
&SYSTEM
  ibrav = 0, nat = 16, ntyp = 2
/
ATOMIC_SPECIES
Si 28.09 Si.upf
Ag 107.87 Ag.upf
ATOMIC_POSITIONS crystal
Si 0.000 0.406 0.250
Si 0.000 0.594 0.750
Si 0.406 0.000 0.250
Si 0.406 0.406 0.750
Si 0.594 0.000 0.750
Si 0.594 0.594 0.250
Ag 0.000 0.224 0.750
Ag 0.000 0.776 0.250
Ag 0.224 0.000 0.750
Ag 0.224 0.224 0.250
Ag 0.333 0.667 0.000
Ag 0.333 0.667 0.500
Ag 0.667 0.333 0.000
Ag 0.667 0.333 0.500
Ag 0.776 0.000 0.250
Ag 0.776 0.776 0.750
CELL_PARAMETERS angstrom
7.639 0.000 0.000
-3.820 6.616 0.000
0.000 0.000 5.633
! * uncorrected formation energy: 352 meV/atom
! * energy above the most stable polymorph in this dataset: 67.4 meV per atom

# 5
! PBE Si3Ag, relaxed; values from VASP
&SYSTEM
  ibrav = 0, nat = 4, ntyp = 2
/
ATOMIC_SPECIES
Si 28.09 Si.upf
Ag 107.87 Ag.upf
ATOMIC_POSITIONS crystal
Si 0.000 0.000 0.000
Si 0.000 0.500 0.499
Si 0.500 0.500 0.999
Ag 0.500 0.000 0.500
CELL_PARAMETERS angstrom
2.654 0.000 0.000
0.000 5.205 0.000
0.000 0.000 4.699
! * uncorrected formation energy: 510 meV/atom
! * energy above the most stable polymorph in this dataset: 224.6 meV per atom

# 6
! PBE SiAg3, relaxed; values from VASP
&SYSTEM
  ibrav = 0, nat = 4, ntyp = 2
/
ATOMIC_SPECIES
Si 28.09 Si.upf
Ag 107.87 Ag.upf
ATOMIC_POSITIONS crystal
Si 0.000 0.000 0.000
Ag 0.250 0.750 0.500
Ag 0.500 0.500 0.000
Ag 0.750 0.250 0.500
CELL_PARAMETERS angstrom
-2.034 2.034 4.152
2.034 -2.034 4.152
2.034 2.034 -4.152
! * uncorrected formation energy: 203 meV/atom

no.,theoretical density (g cm⁻³),D(E_F) (states/eV/cell),size of the total moment (μB/f.u.)
1,4.81,2.3,0.00
2,6.33,1.6,0.00
3,4.92,1.0,0.00
4,7.27,5.3,0.00
5,4.91,1.3,0.00
6,8.50,1.2,0.00